1.
An optimized crystal structure of FeTcSe. Source: Alexandria, functional GGA-PBE.

Properties
ΔE_f (raw): 0.1284 eV per atom
Magnetization: 2.01 μB per formula unit
E above lowest polymorph: 0.0000 eV/atom
Volume: 18.39 A^3/atom

CIF file:
```
data_FeTcSe
_symmetry_space_group_name_H-M 'P 1'
_symmetry_Int_Tables_number 1
_cell_length_a 4.310
_cell_length_b 2.806
_cell_length_c 9.123
_cell_angle_alpha 90.00
_cell_angle_beta 90.00
_cell_angle_gamma 90.00
loop_
_symmetry_equiv_pos_as_xyz
'x,y,z'
loop_
_atom_site_label
_atom_site_type_symbol
_atom_site_fract_x
_atom_site_fract_y
_atom_site_fract_z
Fe1 Fe 0.000 0.500 0.305
Fe2 Fe 0.500 0.000 0.695
Se1 Se 0.000 0.000 0.822
Se2 Se 0.500 0.500 0.178
Tc1 Tc 0.000 0.000 0.540
Tc2 Tc 0.500 0.500 0.460
```


2.
An optimized crystal structure of FeTcSe. Source: Alexandria, functional GGA-PBE.

Properties
ΔE_f (raw): 0.3033 eV per atom
Magnetization: 1.74 μB per formula unit
E above lowest polymorph: 0.1749 eV/atom
Volume: 13.79 A^3/atom

CIF file:
```
data_FeTcSe
_symmetry_space_group_name_H-M 'P 1'
_symmetry_Int_Tables_number 1
_cell_length_a 4.010
_cell_length_b 4.010
_cell_length_c 2.971
_cell_angle_alpha 90.00
_cell_angle_beta 90.00
_cell_angle_gamma 120.00
loop_
_symmetry_equiv_pos_as_xyz
'x,y,z'
loop_
_atom_site_label
_atom_site_type_symbol
_atom_site_fract_x
_atom_site_fract_y
_atom_site_fract_z
Tc1 Tc 0.333 0.667 0.667
Se1 Se 0.667 0.333 0.167
Fe1 Fe 0.000 0.000 0.166
```


3.
An optimized crystal structure of Fe2TcSe. Source: Alexandria, functional GGA-PBE.

Properties
ΔE_f (raw): 0.2583 eV per atom
Magnetization: 2.98 μB per formula unit
Volume: 13.16 A^3/atom

CIF file:
```
data_Fe2TcSe
_symmetry_space_group_name_H-M 'P 1'
_symmetry_Int_Tables_number 1
_cell_length_a 2.872
_cell_length_b 2.872
_cell_length_c 6.380
_cell_angle_alpha 90.00
_cell_angle_beta 90.00
_cell_angle_gamma 90.00
loop_
_symmetry_equiv_pos_as_xyz
'x,y,z'
loop_
_atom_site_label
_atom_site_type_symbol
_atom_site_fract_x
_atom_site_fract_y
_atom_site_fract_z
Fe1 Fe 0.000 0.000 0.009
Fe2 Fe 0.000 0.000 0.491
Tc1 Tc 0.500 0.500 0.750
Se1 Se 0.500 0.500 0.250
```